First-principles (PBE with a Hubbard U) data for a relaxed structure of ZnMo2AuO, as listed in Alexandria.

Lattice parameters (Å, degrees): 5.5385 5.5385 3.9696 90.00 90.00 90.00
Space group P4/mmm (No. 123)
Symmetry-distinct sites (fractional):
Zn  0.0000  0.0000  0.0000 [1 per cell]
Mo  0.0000  0.5000  0.5000 [2 per cell]
Au  0.5000  0.5000  0.5000 [1 per cell]
O  0.5000  0.5000  0.0000 [1 per cell]

Summary:
- Calculated total energy: -17.92 eV per formula unit
- Total magnetization: 9.64 μB/cell